Record 1
The following is a PBE calculation of PrDy2Pb3 after structural relaxation, from the Alexandria database.

Properties
As for the space group: C2/c (15). The formation energy is -0.50 eV/atom. The value obtained for the calculated total energy is -0.34444 Ry/atom.

Cell: 9.168 9.168 6.452 Å, 99.97 99.97 41.51°
Sites, in units of the cell vectors:
Pr  0.124  0.876  0.750
Pr  0.876  0.124  0.250
Dy  0.210  0.458  0.922
Dy  0.458  0.210  0.422
Dy  0.542  0.790  0.578
Dy  0.790  0.542  0.078
Pb  0.046  0.296  0.586
Pb  0.296  0.046  0.086
Pb  0.378  0.622  0.250
Pb  0.622  0.378  0.750
Pb  0.704  0.954  0.914
Pb  0.954  0.704  0.414


Record 2
The following is a PBE calculation of Sm2Ho9Er3 after structural relaxation, from the Alexandria database.

Properties
As for the space group: P1 (1). The formation energy is 0.09 eV/atom. The value obtained for the calculated total energy is -0.33146 Ry/atom.

Cell: 6.362 8.386 8.835 Å, 87.19 83.08 70.90°
Sites, in units of the cell vectors:
Sm  0.000  0.000  0.000
Sm  0.151  0.643  0.196
Ho  0.062  0.260  0.253
Ho  0.197  0.907  0.451
Ho  0.231  0.446  0.534
Ho  0.394  0.659  0.787
Ho  0.547  0.856  0.077
Ho  0.641  0.062  0.371
Ho  0.803  0.251  0.655
Ho  0.838  0.818  0.699
Ho  0.957  0.467  0.917
Er  0.350  0.095  0.747
Er  0.519  0.295  0.030
Er  0.680  0.612  0.410


Record 3
The following is a PBE calculation of LiEuDyRu after structural relaxation, from the Alexandria database.

Properties
As for the space group: F-43m (216). The formation energy is -0.07 eV/atom. The value obtained for the calculated total energy is -0.48425 Ry/atom.

Cell: 7.049 7.049 7.049 Å, 90.00 90.00 90.00°
Sites, in units of the cell vectors:
Li  0.000  0.000  0.000
Li  0.000  0.500  0.500
Li  0.500  0.000  0.500
Li  0.500  0.500  0.000
Eu  0.250  0.250  0.750
Eu  0.250  0.750  0.250
Eu  0.750  0.250  0.250
Eu  0.750  0.750  0.750
Dy  0.250  0.250  0.250
Dy  0.250  0.750  0.750
Dy  0.750  0.250  0.750
Dy  0.750  0.750  0.250
Ru  0.000  0.000  0.500
Ru  0.000  0.500  0.000
Ru  0.500  0.000  0.000
Ru  0.500  0.500  0.500


Record 4
The following is a PBE calculation of DyEr2Ag after structural relaxation, from the Alexandria database.

Properties
As for the space group: R3m (160). The formation energy is -0.01 eV/atom. The value obtained for the calculated total energy is -0.30558 Ry/atom. For the energy above the most stable polymorph in this dataset, the calculation gives 123 meV/atom.

Cell: 3.564 3.564 30.784 Å, 90.00 90.00 120.00°
Sites, in units of the cell vectors:
Dy  0.000  0.000  0.000
Dy  0.333  0.667  0.667
Dy  0.667  0.333  0.333
Er  0.000  0.000  0.241
Er  0.000  0.000  0.426
Er  0.333  0.667  0.092
Er  0.333  0.667  0.908
Er  0.667  0.333  0.575
Er  0.667  0.333  0.759
Ag  0.000  0.000  0.833
Ag  0.333  0.667  0.500
Ag  0.667  0.333  0.167


Record 5
The following is a PBE calculation of TcMoP3 after structural relaxation, from the Alexandria database.

Properties
As for the space group: Pm-3m (221). The formation energy is 1.05 eV/atom. The value obtained for the calculated total energy is -0.47281 Ry/atom. For the energy above the most stable polymorph in this dataset, the calculation gives 53 meV/atom.

Cell: 4.655 4.655 4.655 Å, 90.00 90.00 90.00°
Sites, in units of the cell vectors:
Tc  0.000  0.000  0.000
Mo  0.500  0.500  0.500
P  0.000  0.500  0.500
P  0.500  0.000  0.500
P  0.500  0.500  0.000


Record 6
The following is a PBE calculation of CdCu3Cl after structural relaxation, from the Alexandria database.

Properties
As for the space group: Pm-3m (221). As for the formation energy without anion corrections: 83.35 kJ per mole of atoms. The value obtained for the calculated total energy is -0.15774 Ry/atom. For the energy above the most stable polymorph in this dataset, the calculation gives 228 meV/atom.

Cell: 4.903 4.903 4.903 Å, 90.00 90.00 90.00°
Sites, in units of the cell vectors:
Cd  0.000  0.000  0.000
Cu  0.000  0.000  0.500
Cu  0.000  0.500  0.000
Cu  0.500  0.000  0.000
Cl  0.500  0.500  0.500


Record 7
The following is a PBE calculation of Tm5Bi4Sb after structural relaxation, from the Alexandria database.

Properties
As for the space group: Immm (71). As for the formation energy without anion corrections: -80.91 kJ per mole of atoms. The value obtained for the calculated total energy is -0.37036 Ry/atom.

Cell: 11.677 11.677 11.677 Å, 158.23 149.02 38.19°
Sites, in units of the cell vectors:
Tm  0.000  0.000  0.000
Tm  0.201  0.201  0.000
Tm  0.403  0.403  0.000
Tm  0.597  0.597  0.000
Tm  0.799  0.799  0.000
Bi  0.100  0.600  0.500
Bi  0.301  0.801  0.500
Bi  0.699  0.199  0.500
Bi  0.900  0.400  0.500
Sb  0.500  0.000  0.500


Record 8
The following is a PBE calculation of LiSmCdIr after structural relaxation, from the Alexandria database.

Properties
As for the space group: F-43m (216). The formation energy is -0.34 eV/atom. The value obtained for the calculated total energy is -0.32686 Ry/atom.

Cell: 6.827 6.827 6.827 Å, 90.00 90.00 90.00°
Sites, in units of the cell vectors:
Li  0.000  0.000  0.000
Li  0.000  0.500  0.500
Li  0.500  0.000  0.500
Li  0.500  0.500  0.000
Sm  0.250  0.250  0.750
Sm  0.250  0.750  0.250
Sm  0.750  0.250  0.250
Sm  0.750  0.750  0.750
Cd  0.250  0.250  0.250
Cd  0.250  0.750  0.750
Cd  0.750  0.250  0.750
Cd  0.750  0.750  0.250
Ir  0.000  0.000  0.500
Ir  0.000  0.500  0.000
Ir  0.500  0.000  0.000
Ir  0.500  0.500  0.500


Record 9
The following is a PBE calculation of Y3Er5Tm4 after structural relaxation, from the Alexandria database.

Properties
As for the space group: C2/m (12). The formation energy is 0.26 eV/atom. The value obtained for the calculated total energy is -0.34868 Ry/atom. For the energy above the most stable polymorph in this dataset, the calculation gives 237 meV/atom.

Cell: 8.480 8.480 9.222 Å, 115.17 115.17 39.94°
Sites, in units of the cell vectors:
Y  0.000  0.000  0.000
Y  0.291  0.291  0.769
Y  0.709  0.709  0.231
Er  0.073  0.073  0.699
Er  0.173  0.173  0.386
Er  0.500  0.500  0.000
Er  0.827  0.827  0.614
Er  0.927  0.927  0.301
Tm  0.287  0.287  0.123
Tm  0.419  0.419  0.560
Tm  0.581  0.581  0.440
Tm  0.713  0.713  0.877


Record 10
The following is a PBE calculation of BeReIr after structural relaxation, from the Alexandria database.

Properties
As for the space group: C2/m (12). The formation energy is -0.11 eV/atom. The value obtained for the calculated total energy is -0.62147 Ry/atom. For the energy above the most stable polymorph in this dataset, the calculation gives 207 meV/atom.

Cell: 8.225 3.721 5.334 Å, 90.00 102.25 90.00°
Sites, in units of the cell vectors:
Be  0.000  0.000  0.000
Be  0.000  0.000  0.500
Be  0.500  0.500  0.000
Be  0.500  0.500  0.500
Re  0.188  0.500  0.360
Re  0.312  0.000  0.640
Re  0.688  0.000  0.360
Re  0.812  0.500  0.640
Ir  0.124  0.500  0.848
Ir  0.376  0.000  0.152
Ir  0.624  0.000  0.848
Ir  0.876  0.500  0.152


Record 11
The following is a PBE calculation of NbP2WS after structural relaxation, from the Alexandria database.

Properties
As for the space group: P4/mmm (123). As for the formation energy without anion corrections: 71.63 kJ per mole of atoms. The value obtained for the calculated total energy is -0.50358 Ry/atom. For the energy above the most stable polymorph in this dataset, the calculation gives 0 meV/atom.

Cell: 4.692 4.692 4.613 Å, 90.00 90.00 90.00°
Sites, in units of the cell vectors:
Nb  0.000  0.000  0.000
P  0.000  0.500  0.500
P  0.500  0.000  0.500
W  0.500  0.500  0.500
S  0.500  0.500  0.000


Record 12
The following is a PBE calculation of YTmAgRu after structural relaxation, from the Alexandria database.

Properties
As for the space group: P4mm (99). The formation energy is -0.43 eV/atom. The value obtained for the calculated total energy is -0.45542 Ry/atom. For the energy above the most stable polymorph in this dataset, the calculation gives 0 meV/atom.

Cell: 3.407 3.407 7.457 Å, 90.00 90.00 90.00°
Sites, in units of the cell vectors:
Y  0.000  0.000  0.000
Tm  0.000  0.000  0.555
Ag  0.500  0.500  0.286
Ru  0.500  0.500  0.771